A plane-wave DFT calculation with GGA-PBE was carried out for Na3Nd2BiTe6 after structural relaxation.

Cell lengths 7.879, 13.645, 8.011 Å; angles 90.00, 109.11, 90.00 degrees
Space group C2/m (No. 12)
Asymmetric unit:
Na  0.000  0.000  0.000 (multiplicity 2)
Na  0.000  0.337  0.000 (multiplicity 4)
Nd  0.000  0.167  0.500 (multiplicity 4)
Bi  0.000  0.500  0.500 (multiplicity 2)
Te  0.245  0.335  0.739 (multiplicity 8)
Te  0.248  0.000  0.737 (multiplicity 4)

## Properties
Uncorrected formation energy ... -1061 meV per atom
N(E_F) ... 0.0 states/eV/cell
Total DFT energy (no corrections) ... -4.079 eV per atom

---

A plane-wave DFT calculation with GGA-PBE was carried out for Zr2Tc after structural relaxation.

Cell lengths 4.704, 4.715, 10.597 Å; angles 90.00, 90.00, 90.00 degrees
Space group Fmmm (No. 69)
Asymmetric unit:
Zr  0.000  0.000  0.149 (multiplicity 8)
Tc  0.000  0.000  0.500 (multiplicity 4)

## Properties
E_form ... -262 meV per atom
N(E_F) ... 14.0 states/eV/cell
Energy above the most stable polymorph in this dataset ... 0.013 eV per atom
Total DFT energy (no corrections) ... -9.416 eV per atom

---

A plane-wave DFT calculation with GGA-PBE was carried out for MgTl3I6 after structural relaxation.

Cell lengths 14.811, 19.065, 6.843 Å; angles 90.00, 90.00, 90.00 degrees
Space group Cmc2_1 (No. 36)
Asymmetric unit:
Mg  0.000  0.204  0.000 (multiplicity 4)
Tl  0.000  0.383  0.620 (multiplicity 4)
Tl  0.180  0.118  0.594 (multiplicity 8)
I  0.000  0.066  0.894 (multiplicity 4)
I  0.000  0.213  0.396 (multiplicity 4)
I  0.155  0.269  0.872 (multiplicity 8)
I  0.160  0.496  0.345 (multiplicity 8)

## Properties
Uncorrected formation energy ... -668 meV per atom
N(E_F) ... 7.8 states/eV/cell
Energy above the most stable polymorph in this dataset ... 0.000 eV per atom
Total DFT energy (no corrections) ... -2.467 eV per atom

---

A plane-wave DFT calculation with GGA-PBE was carried out for Y2MgAlC after structural relaxation.

Cell lengths 4.925, 4.925, 4.376 Å; angles 90.00, 90.00, 90.00 degrees
Space group P4/mmm (No. 123)
Asymmetric unit:
Y  0.000  0.500  0.000 (multiplicity 2)
Mg  0.000  0.000  0.500 (multiplicity 1)
Al  0.500  0.500  0.500 (multiplicity 1)
C  0.000  0.000  0.000 (multiplicity 1)

## Properties
E_form ... -243 meV per atom
N(E_F) ... 2.8 states/eV/cell
Energy above the most stable polymorph in this dataset ... 0.000 eV per atom
Total DFT energy (no corrections) ... -5.741 eV per atom

---

A plane-wave DFT calculation with GGA-PBE was carried out for Li6CdSn2 after structural relaxation.

Cell lengths 13.925, 8.040, 2.987 Å; angles 90.00, 90.23, 90.00 degrees
Space group C2/m (No. 12)
Asymmetric unit:
Li  0.000  0.165  0.000 (multiplicity 4)
Li  0.167  0.333  0.002 (multiplicity 8)
Cd  0.000  0.500  0.500 (multiplicity 2)
Sn  0.167  0.000  0.500 (multiplicity 4)

## Properties
E_form ... -319 meV per atom
N(E_F) ... 6.3 states/eV/cell
Total DFT energy (no corrections) ... -2.586 eV per atom

---

A plane-wave DFT calculation with GGA-PBE was carried out for Mg2Ag2Te after structural relaxation.

Cell lengths 3.909, 3.909, 14.908 Å; angles 90.00, 90.00, 90.00 degrees
Space group I4/mmm (No. 139)
Asymmetric unit:
Mg  0.000  0.000  0.104 (multiplicity 4)
Ag  0.000  0.500  0.250 (multiplicity 4)
Te  0.000  0.000  0.500 (multiplicity 2)

## Properties
Uncorrected formation energy ... -192 meV per atom
N(E_F) ... 2.2 states/eV/cell
Energy above the most stable polymorph in this dataset ... 0.000 eV per atom
Total DFT energy (no corrections) ... -2.598 eV per atom

---

A plane-wave DFT calculation with GGA-PBE was carried out for CdHg2W after structural relaxation.

Cell lengths 2.792, 5.377, 5.582 Å; angles 90.00, 90.00, 90.00 degrees
Space group Pmmm (No. 47)
Asymmetric unit:
Cd  0.000  0.000  0.000 (multiplicity 1)
Hg  0.000  0.500  0.500 (multiplicity 1)
Hg  0.500  0.500  0.000 (multiplicity 1)
W  0.500  0.000  0.500 (multiplicity 1)

## Properties
E_form ... 729 meV per atom
N(E_F) ... 1.7 states/eV/cell
Total DFT energy (no corrections) ... -2.889 eV per atom

---

A plane-wave DFT calculation with GGA-PBE was carried out for MgSc3 after structural relaxation.

Cell lengths 3.607, 5.016, 10.530 Å; angles 90.00, 90.00, 90.00 degrees
Space group Immm (No. 71)
Asymmetric unit:
Mg  0.000  0.000  0.000 (multiplicity 2)
Sc  0.000  0.000  0.500 (multiplicity 2)
Sc  0.000  0.500  0.267 (multiplicity 4)

## Properties
E_form ... 9 meV per atom
N(E_F) ... 9.9 states/eV/cell
Energy above the most stable polymorph in this dataset ... 0.020 eV per atom
Total DFT energy (no corrections) ... -5.138 eV per atom

---

A plane-wave DFT calculation with GGA-PBE was carried out for LuSnPtRh after structural relaxation.

Cell lengths 6.652, 6.652, 6.652 Å; angles 90.00, 90.00, 90.00 degrees
Space group F-43m (No. 216)
Asymmetric unit:
Lu  0.000  0.000  0.000 (multiplicity 4)
Sn  0.000  0.000  0.500 (multiplicity 4)
Pt  0.250  0.250  0.250 (multiplicity 4)
Rh  0.250  0.250  0.750 (multiplicity 4)

## Properties
E_form ... -874 meV per atom
N(E_F) ... 11.8 states/eV/cell
Total DFT energy (no corrections) ... -6.353 eV per atom

---

A plane-wave DFT calculation with GGA-PBE was carried out for LiAlF3 after structural relaxation.

Cell lengths 3.694, 3.694, 3.694 Å; angles 90.00, 90.00, 90.00 degrees
Space group Pm-3m (No. 221)
Asymmetric unit:
Li  0.000  0.000  0.000 (multiplicity 1)
Al  0.500  0.500  0.500 (multiplicity 1)
F  0.000  0.000  0.500 (multiplicity 3)

## Properties
Uncorrected formation energy ... -2111 meV per atom
N(E_F) ... 1.9 states/eV/cell
Energy above the most stable polymorph in this dataset ... 0.691 eV per atom
Total DFT energy (no corrections) ... -4.365 eV per atom

---

A plane-wave DFT calculation with GGA-PBE was carried out for Li2CeSm2Sn2 after structural relaxation.

Cell lengths 4.8683, 4.8683, 27.0395 Å; angles 90.00, 90.00, 120.00 degrees
Space group R-3m (No. 166, hexagonal axes)
Asymmetric unit:
Li  0.0000  0.0000  0.0958 (multiplicity 6)
Ce  0.0000  0.0000  0.5000 (multiplicity 3)
Sm  0.0000  0.0000  0.3712 (multiplicity 6)
Sn  0.0000  0.0000  0.2370 (multiplicity 6)

## Properties
E_form ... -419 meV per atom
N(E_F) ... 31.2 states/eV/cell
Total DFT energy (no corrections) ... -4.305 eV per atom

---

A plane-wave DFT calculation with GGA-PBE was carried out for AsOs2Pb after structural relaxation.

Cell lengths 5.997, 5.997, 10.813 Å; angles 90.00, 90.00, 90.00 degrees
Space group I-42d (No. 122)
Asymmetric unit:
As  0.000  0.000  0.000 (multiplicity 4)
Os  0.204  0.250  0.125 (multiplicity 8)
Pb  0.000  0.000  0.500 (multiplicity 4)

## Properties
E_form ... 1185 meV per atom
N(E_F) ... 19.8 states/eV/cell
Energy above the most stable polymorph in this dataset ... 0.785 eV per atom
Total DFT energy (no corrections) ... -6.519 eV per atom